NaSm3Er2Se6 after structural relaxation. Source: the Alexandria database, functional PBE-GGA.

- N(E_F) (states/eV/cell) = 9.809
- energy relative to the elements, uncorrected (meV/atom) = -1748
- uncorrected energy (eV/f.u.) = -66.5

Geometry as CIF:
```
data_NaSm3Er2Se6
_cell_length_a 7.104
_cell_length_b 12.322
_cell_length_c 7.208
_cell_angle_alpha 90.00
_cell_angle_beta 109.27
_cell_angle_gamma 90.00
_space_group_name_H-M_alt 'C 1 2/m 1'
_space_group_IT_number 12
_space_group_name_Hall '-C 2y'
loop_
_atom_site_label
_atom_site_fract_x
_atom_site_fract_y
_atom_site_fract_z
Na1 0.000 0.000 0.000
Sm1 0.000 0.162 0.500
Sm2 0.000 0.500 0.500
Er1 0.000 0.334 0.000
Se1 0.244 0.500 0.235
Se2 0.249 0.169 0.242
```